Nd3DyYEr | PBE-GGA | relaxed Values from VASP.

Calculated values
E_tot: -29.811 eV/f.u.
Formation enthalpy at 0 K: 0.020 eV per atom
Volume: 199.7 Å³/f.u.
Magnetization: 0.00 μB per cell

Quantum ESPRESSO input file:
```
&SYSTEM
  ibrav = 0, nat = 12, ntyp = 4
/
ATOMIC_SPECIES
Nd 144.24 Nd.upf
Dy 162.50 Dy.upf
Y 88.91 Y.upf
Er 167.26 Er.upf
CELL_PARAMETERS angstrom
-2.6269 -2.3015 3.7269
7.8745 -0.5186 1.7193
-0.5283 8.8387 5.0858
ATOMIC_POSITIONS crystal
Nd 0.8346 0.6693 0.2500
Nd 0.3352 0.6700 0.4999
Nd 0.3352 0.6700 0.0001
Nd 0.6648 0.3300 0.5001
Nd 0.6648 0.3300 0.9999
Nd 0.1654 0.3307 0.7500
Dy 0.0000 0.0000 0.0000
Dy 0.0000 0.0000 0.5000
Y 0.1649 0.3297 0.2500
Y 0.8351 0.6703 0.7500
Er 0.4993 0.9983 0.7500
Er 0.5007 0.0017 0.2500
```



NdDy4Y2Er2 | PBE-GGA | relaxed Values from VASP.

Calculated values
E_tot: -44.508 eV/f.u.
Formation enthalpy at 0 K: 0.080 eV per atom
Volume: 290.2 Å³/f.u.
Magnetization: 0.00 μB per cell

Quantum ESPRESSO input file:
```
&SYSTEM
  ibrav = 0, nat = 9, ntyp = 4
/
ATOMIC_SPECIES
Er 167.26 Er.upf
Nd 144.24 Nd.upf
Dy 162.50 Dy.upf
Y 88.91 Y.upf
CELL_PARAMETERS angstrom
1.2770 -6.4636 1.2573
4.7633 -5.5572 -6.6402
2.9482 5.2368 2.8412
ATOMIC_POSITIONS crystal
Er 0.8164 0.4454 0.0350
Er 0.1836 0.5546 0.9650
Nd 0.0000 0.0000 0.0000
Dy 0.6245 0.7573 0.5102
Dy 0.3755 0.2427 0.4898
Dy 0.2701 0.1194 0.8069
Dy 0.7299 0.8806 0.1931
Y 0.2688 0.6558 0.5968
Y 0.7312 0.3442 0.4032
```



Nd2DyY5Er | PBE-GGA | relaxed Values from VASP.

Calculated values
E_tot: -48.676 eV/f.u.
Formation enthalpy at 0 K: 0.261 eV per atom
Volume: 295.1 Å³/f.u.
Magnetization: 0.00 μB per cell

Quantum ESPRESSO input file:
```
&SYSTEM
  ibrav = 0, nat = 18, ntyp = 4
/
ATOMIC_SPECIES
Y 88.91 Y.upf
Nd 144.24 Nd.upf
Er 167.26 Er.upf
Dy 162.50 Dy.upf
CELL_PARAMETERS angstrom
8.6535 0.0000 0.0000
0.0000 8.6535 0.0000
-4.3268 -4.3268 7.8809
ATOMIC_POSITIONS crystal
Y 0.6486 0.1486 0.7203
Y 0.8514 0.9283 0.2797
Y 0.1486 0.0717 0.7203
Y 0.9283 0.4283 0.2797
Y 0.0000 0.0000 0.0000
Y 0.3514 0.8514 0.2797
Y 0.0717 0.5717 0.7203
Y 0.5000 0.5000 0.0000
Y 0.4283 0.3514 0.2797
Y 0.5717 0.6486 0.7203
Nd 0.1177 0.3823 0.0000
Nd 0.8823 0.6177 0.0000
Nd 0.3823 0.8823 0.0000
Nd 0.6177 0.1177 0.0000
Er 0.2500 0.7500 0.5000
Er 0.7500 0.2500 0.5000
Dy 0.7500 0.7500 0.5000
Dy 0.2500 0.2500 0.5000
```



NdDyErZn | PBE-GGA | relaxed Values from VASP.

Calculated values
E_tot: -15.065 eV/f.u.
Formation enthalpy at 0 K: 0.035 eV per atom
Volume: 109.8 Å³/f.u.
Magnetization: 0.00 μB per cell
ΔE to the lowest computed polymorph: 200 meV per atom

Quantum ESPRESSO input file:
```
&SYSTEM
  ibrav = 0, nat = 4, ntyp = 4
/
ATOMIC_SPECIES
Nd 144.24 Nd.upf
Zn 65.41 Zn.upf
Dy 162.50 Dy.upf
Er 167.26 Er.upf
CELL_PARAMETERS angstrom
5.3756 0.0000 0.0000
2.6878 4.6554 0.0000
2.6878 1.5518 4.3892
ATOMIC_POSITIONS crystal
Nd 0.2500 0.2500 0.2500
Zn 0.0000 0.0000 0.0000
Dy 0.7500 0.7500 0.7500
Er 0.5000 0.5000 0.5000
```



NdDyErZn | PBE-GGA | relaxed Values from VASP.

Calculated values
E_tot: -15.864 eV/f.u.
Formation enthalpy at 0 K: -0.164 eV per atom
Volume: 111.4 Å³/f.u.
Magnetization: 0.00 μB per cell
ΔE to the lowest computed polymorph: 0 meV per atom

Quantum ESPRESSO input file:
```
&SYSTEM
  ibrav = 0, nat = 4, ntyp = 4
/
ATOMIC_SPECIES
Er 167.26 Er.upf
Dy 162.50 Dy.upf
Zn 65.41 Zn.upf
Nd 144.24 Nd.upf
CELL_PARAMETERS angstrom
3.5764 0.0000 0.0000
0.0000 3.5764 0.0000
0.0000 0.0000 8.7067
ATOMIC_POSITIONS crystal
Er 0.5000 0.5000 0.3701
Dy 0.5000 0.5000 0.7734
Zn 0.0000 0.0000 0.5682
Nd 0.0000 0.0000 0.0731
```



NdDyErZr | PBE-GGA | relaxed Values from VASP.

Calculated values
E_tot: -21.585 eV/f.u.
Formation enthalpy at 0 K: 0.224 eV per atom
Volume: 118.6 Å³/f.u.
Magnetization: 1.49 μB per cell

Quantum ESPRESSO input file:
```
&SYSTEM
  ibrav = 0, nat = 4, ntyp = 4
/
ATOMIC_SPECIES
Dy 162.50 Dy.upf
Er 167.26 Er.upf
Zr 91.22 Zr.upf
Nd 144.24 Nd.upf
CELL_PARAMETERS angstrom
5.5153 0.0000 0.0000
2.7577 4.7764 0.0000
2.7577 1.5921 4.5032
ATOMIC_POSITIONS crystal
Dy 0.7500 0.7500 0.7500
Er 0.2500 0.2500 0.2500
Zr 0.0000 0.0000 0.0000
Nd 0.5000 0.5000 0.5000
```



DyErNi | PBE-GGA | relaxed Values from VASP.

Calculated values
E_tot: -14.983 eV/f.u.
Formation enthalpy at 0 K: -0.012 eV per atom
Volume: 77.1 Å³/f.u.
Magnetization: 0.00 μB per cell
ΔE to the lowest computed polymorph: 290 meV per atom

Quantum ESPRESSO input file:
```
&SYSTEM
  ibrav = 0, nat = 6, ntyp = 3
/
ATOMIC_SPECIES
Ni 58.69 Ni.upf
Er 167.26 Er.upf
Dy 162.50 Dy.upf
CELL_PARAMETERS angstrom
4.8317 0.2866 -1.4640
-2.3260 5.2125 -0.9407
-0.0460 0.8265 5.7254
ATOMIC_POSITIONS crystal
Ni 0.9883 0.6120 0.6120
Ni 0.5330 0.3566 0.3566
Er 0.1846 0.9472 0.9472
Er 0.9973 0.2872 0.2872
Dy 0.5131 0.8953 0.5139
Dy 0.5131 0.5139 0.8953
```



DyErNi2 | PBE-GGA | relaxed Values from VASP.

Calculated values
E_tot: -22.620 eV/f.u.
Formation enthalpy at 0 K: -0.473 eV per atom
Volume: 78.8 Å³/f.u.
Magnetization: 0.00 μB per cell
ΔE to the lowest computed polymorph: 0 meV per atom

Quantum ESPRESSO input file:
```
&SYSTEM
  ibrav = 0, nat = 4, ntyp = 3
/
ATOMIC_SPECIES
Ni 58.69 Ni.upf
Dy 162.50 Dy.upf
Er 167.26 Er.upf
CELL_PARAMETERS angstrom
3.7272 0.0000 -0.0262
0.0000 4.1752 0.0000
-1.8327 0.0000 5.0740
ATOMIC_POSITIONS crystal
Ni 0.1555 0.5000 0.8502
Ni 0.0110 0.0000 0.5609
Dy 0.4430 0.5000 0.4243
Er 0.7215 0.0000 0.9825
```



What is the formula in the first record?
Nd3DyYEr